No. 1
Sb2OsIBr: relaxed, GGA-PBE.

Computed properties:
M_tot: 0.000 μB per cell
Energy relative to the elements, uncorrected: 2.4 eV/f.u.

Cell: 5.1326 5.1326 5.6461 Å, 90.00 90.00 90.00°
Last column: nearest neighbours and their distance in Å.
Atoms (fractional coordinates):
I1 0.0000 0.0000 0.5000  2 Os 2.82
Br1 0.5000 0.5000 0.5000  4 I 3.63, 8 Sb 3.82
Sb1 0.0000 0.5000 0.0000  2 Os 2.57
Sb2 0.5000 0.0000 0.0000  2 Os 2.57
Os1 0.0000 0.0000 0.0000  4 Sb 2.57, 2 I 2.82


No. 2
Sb2OsIBr: relaxed, GGA-PBE.

Computed properties:
M_tot: 2.793 μB per cell
Energy relative to the elements, uncorrected: 9.9 eV/f.u.

Cell: 5.5325 5.5325 5.4967 Å, 90.00 90.00 90.00°
Last column: nearest neighbours and their distance in Å.
Atoms (fractional coordinates):
Os1 0.5000 0.5000 0.5000  8 Sb 3.90, 4 I 3.91
Sb1 0.0000 0.5000 0.0000  2 Br 2.77
Sb2 0.5000 0.0000 0.0000  2 Br 2.77
Br1 0.0000 0.0000 0.0000  2 I 2.75, 4 Sb 2.77
I1 0.0000 0.0000 0.5000  2 Br 2.75


No. 3
TeOsI2Br: relaxed, GGA-PBE.

Computed properties:
M_tot: 5.281 μB per cell
Energy relative to the elements, uncorrected: 9.1 eV/f.u.

Cell: 5.8053 5.8053 5.7379 Å, 90.00 90.00 90.00°
Last column: nearest neighbours and their distance in Å.
Atoms (fractional coordinates):
Os1 0.5000 0.5000 0.5000  8 I 4.08, 4 Te 4.10
Te1 0.0000 0.0000 0.5000  2 Br 2.87
I1 0.5000 0.0000 0.0000  2 Br 2.90
Br1 0.0000 0.0000 0.0000  2 Te 2.87, 4 I 2.90
I2 0.0000 0.5000 0.0000  2 Br 2.90


No. 4
TeOsI2Br: relaxed, GGA-PBE.

Computed properties:
M_tot: 0.000 μB per cell
Energy relative to the elements, uncorrected: 2.8 eV/f.u.

Cell: 5.5457 5.5457 5.0461 Å, 90.00 90.00 90.00°
Last column: nearest neighbours and their distance in Å.
Atoms (fractional coordinates):
Br1 0.5000 0.5000 0.5000  8 I 3.75, 4 Te 3.92
I1 0.0000 0.5000 0.0000  2 Os 2.77
I2 0.5000 0.0000 0.0000  2 Os 2.77
Te1 0.0000 0.0000 0.5000  2 Os 2.52
Os1 0.0000 0.0000 0.0000  2 Te 2.52, 4 I 2.77


No. 5
Y2OsIBr: relaxed, GGA-PBE.

Computed properties:
M_tot: 0.000 μB per cell
Energy relative to the elements, uncorrected: 3.6 eV/f.u.

Cell: 5.7234 4.7875 5.7234 Å, 90.00 90.00 90.00°
Last column: nearest neighbours and their distance in Å.
Atoms (fractional coordinates):
Os1 0.0000 0.5000 0.0000  2 I 2.39
I1 0.0000 0.0000 0.0000  2 Os 2.39
Y1 0.0000 0.0000 0.5000  2 I 2.86
Br1 0.5000 0.5000 0.5000  8 Y 3.73, 4 Os 4.05
Y2 0.5000 0.0000 0.0000  2 I 2.86


No. 6
YOsI2Br: relaxed, GGA-PBE.

Computed properties:
M_tot: 0.000 μB per cell
Energy relative to the elements, uncorrected: 2.0 eV/f.u.

Cell: 5.3439 5.0443 5.3439 Å, 90.00 90.00 90.00°
Last column: nearest neighbours and their distance in Å.
Atoms (fractional coordinates):
Os1 0.0000 0.0000 0.0000  2 Br 2.52, 4 I 2.67
I1 0.5000 0.0000 0.0000  2 Os 2.67
Y1 0.5000 0.5000 0.5000  8 I 3.67, 4 Br 3.78
Br1 0.0000 0.5000 0.0000  2 Os 2.52
I2 0.0000 0.0000 0.5000  2 Os 2.67


No. 7
P2IBr2: relaxed, GGA-PBE.

Computed properties:
M_tot: 0.000 μB per cell
Energy relative to the elements, uncorrected: -0.8 eV/f.u.

Cell: 8.5364 7.0178 10.8655 Å, 99.85 56.06 70.09°
Last column: nearest neighbours and their distance in Å.
Atoms (fractional coordinates):
I1 0.1409 0.6884 0.2788  1 P 2.47
P1 0.3792 0.9835 0.6099  2 P 2.24-2.27, 1 Br 2.27
Br1 0.4790 0.9910 0.2676  1 P 2.27
Br2 0.1777 0.5825 0.7013  1 P 2.26
I2 0.8591 0.3116 0.7212  1 P 2.47
Br3 0.5210 0.0090 0.7324  1 P 2.27
Br4 0.8223 0.4175 0.2987  1 P 2.26
P2 0.9224 0.6542 0.2048  1 Br 2.26, 1 P 2.27, 1 I 2.47
P3 0.0776 0.3458 0.7952  1 Br 2.26, 1 P 2.27, 1 I 2.47
P4 0.6208 0.0165 0.3901  2 P 2.24-2.27, 1 Br 2.27


No. 8
P4I5Br2: relaxed, GGA-PBE.

Computed properties:
M_tot: 0.000 μB per cell
Energy relative to the elements, uncorrected: 0.3 eV/f.u.

Cell: 3.5682 21.6148 10.0341 Å, 134.74 80.03 114.05°
Last column: nearest neighbours and their distance in Å.
Atoms (fractional coordinates):
Br1 0.3659 0.2681 0.6110  1 P 2.24
P1 0.7394 0.2848 0.9571  2 P 2.32-2.33, 1 I 2.46
I1 0.2699 0.9491 0.2127  1 I 2.90
I2 0.7301 0.0509 0.7873  1 I 2.90
I3 0.0746 0.4510 0.1104  1 P 2.46
P2 0.1632 0.2122 0.7448  1 Br 2.24, 2 P 2.32-2.33
I4 0.5000 0.0000 0.0000  2 I 2.90
I5 0.9254 0.5490 0.8896  1 P 2.46
Br2 0.6341 0.7319 0.3890  1 P 2.24
P3 0.8368 0.7878 0.2552  1 Br 2.24, 2 P 2.32-2.33
P4 0.2606 0.7152 0.0429  2 P 2.32-2.33, 1 I 2.46


No. 9
PIBr3: relaxed, GGA-PBE.

Computed properties:
M_tot: 1.052 μB per cell
Energy relative to the elements, uncorrected: 1.0 eV/f.u.

Cell: 5.2142 5.2142 5.2142 Å, 90.00 90.00 90.00°
Last column: nearest neighbours and their distance in Å.
Atoms (fractional coordinates):
I1 0.5000 0.5000 0.5000  12 Br 3.69
P1 0.0000 0.0000 0.0000  6 Br 2.61
Br1 0.0000 0.5000 0.0000  2 P 2.61
Br2 0.0000 0.0000 0.5000  2 P 2.61
Br3 0.5000 0.0000 0.0000  2 P 2.61


No. 10
P2I2Br: relaxed, GGA-PBE.

Computed properties:
M_tot: 0.000 μB per cell
Energy relative to the elements, uncorrected: 2.5 eV/f.u.

Cell: 8.0552 8.0552 4.7032 Å, 90.00 90.00 90.00°
Last column: nearest neighbours and their distance in Å.
Atoms (fractional coordinates):
Br1 0.0000 0.0000 0.0000  4 P 2.86
Br2 0.5000 0.5000 0.0000  4 P 2.86
P1 0.7314 0.2314 0.0000  2 I 2.62, 2 Br 2.86
I1 0.8324 0.3324 0.5000  2 P 2.62
P2 0.7686 0.7314 0.0000  2 I 2.62, 2 Br 2.86
I2 0.1676 0.6676 0.5000  2 P 2.62
I3 0.3324 0.1676 0.5000  2 P 2.62
P3 0.2686 0.7686 0.0000  2 I 2.62, 2 Br 2.86
P4 0.2314 0.2686 0.0000  2 I 2.62, 2 Br 2.86
I4 0.6676 0.8324 0.5000  2 P 2.62


No. 11
PIBr3: relaxed, GGA-PBE.

Computed properties:
M_tot: 2.679 μB per cell
Energy relative to the elements, uncorrected: 3.7 eV/f.u.

Cell: 5.7570 5.7570 5.7570 Å, 90.00 90.00 90.00°
Last column: nearest neighbours and their distance in Å.
Atoms (fractional coordinates):
Br1 0.0000 0.5000 0.0000  2 I 2.88
I1 0.0000 0.0000 0.0000  6 Br 2.88
Br2 0.5000 0.0000 0.0000  2 I 2.88
Br3 0.0000 0.0000 0.5000  2 I 2.88
P1 0.5000 0.5000 0.5000  12 Br 4.07


No. 12
P2I2Br: relaxed, GGA-PBE.

Computed properties:
M_tot: 0.000 μB per cell
Energy relative to the elements, uncorrected: 2.3 eV/f.u.

Cell: 5.8674 5.8674 5.7035 Å, 59.04 59.04 90.00°
Last column: nearest neighbours and their distance in Å.
Atoms (fractional coordinates):
I1 0.7500 0.2500 0.5000  4 P 3.05
I2 0.2500 0.7500 0.5000  4 P 3.05
P1 0.6420 0.6420 0.7160  1 P 2.22
Br1 0.0000 0.0000 0.0000  2 P 2.80
P2 0.3580 0.3580 0.2840  1 P 2.22


Which formula does entry 1 have?
Sb2OsIBr


Copy entry 4 word for word.
TeOsI2Br: relaxed, GGA-PBE.

Computed properties:
M_tot: 0.000 μB per cell
Energy relative to the elements, uncorrected: 2.8 eV/f.u.

Cell: 5.5457 5.5457 5.0461 Å, 90.00 90.00 90.00°
Last column: nearest neighbours and their distance in Å.
Atoms (fractional coordinates):
Br1 0.5000 0.5000 0.5000  8 I 3.75, 4 Te 3.92
I1 0.0000 0.5000 0.0000  2 Os 2.77
I2 0.5000 0.0000 0.0000  2 Os 2.77
Te1 0.0000 0.0000 0.5000  2 Os 2.52
Os1 0.0000 0.0000 0.0000  2 Te 2.52, 4 I 2.77